LuMgCoSi: optimized geometry, PBE.

a = 6.2999 Å, b = 6.2999 Å, c = 6.2999 Å
α = 90.00°, β = 90.00°, γ = 90.00°
Space group F-43m (No. 216)
Asymmetric unit:
Lu  0.0000  0.0000  0.0000
Mg  0.2500  0.2500  0.7500
Co  0.2500  0.2500  0.2500
Si  0.0000  0.0000  0.5000

Output
V = 15.63 A^3/atom
Polymorph energy (0 for the lowest one) = 0 kJ/mol of formula units
Electronic total energy = -77.3 eV per cell